No. 1
{"formula": "Li2BeRh", "functional": "SCAN", "state": "PBEsol geometry", "delta_e_f_ev_per_atom": -0.323, "space_group": "No. 6", "lattice": [[2.932, 0.000, 0.000], [0.000, 2.932, 0.000], [-0.005, 0.000, 6.395]], "species": ["Li", "Li", "Be", "Rh"], "frac_coords": [[0.000, 0.000, 0.000], [0.499, 0.500, 0.347], [0.501, 0.500, 0.731], [0.000, 0.000, 0.605]]}



No. 2
{"formula": "CrC2S", "functional": "SCAN", "state": "PBEsol geometry", "e_form_raw_ev_per_atom": 0.98, "space_group": "No. 122", "lattice": [[4.527, 0.000, 0.000], [0.000, 4.527, 0.000], [0.000, 0.000, 7.780]], "species": ["Cr", "Cr", "Cr", "Cr", "C", "C", "C", "C", "C", "C", "C", "C", "S", "S", "S", "S"], "frac_coords": [[0.000, 0.000, 0.000], [0.000, 0.500, 0.250], [0.500, 0.000, 0.750], [0.500, 0.500, 0.500], [0.208, 0.250, 0.625], [0.250, 0.708, 0.875], [0.250, 0.792, 0.375], [0.292, 0.250, 0.125], [0.708, 0.750, 0.125], [0.750, 0.208, 0.375], [0.750, 0.292, 0.875], [0.792, 0.750, 0.625], [0.000, 0.000, 0.500], [0.000, 0.500, 0.750], [0.500, 0.000, 0.250], [0.500, 0.500, 0.000]]}



No. 3
{"formula": "W2SeBr", "functional": "SCAN", "state": "PBEsol geometry", "e_form_raw_ev_per_atom": 1.27, "e_above_lowest_polymorph_mev_per_atom": 981, "space_group": "No. 12", "lattice": [[5.897, 0.000, 0.000], [0.000, 8.729, 0.000], [-0.763, 0.000, 2.699]], "species": ["W", "W", "W", "W", "Se", "Se", "Br", "Br"], "frac_coords": [[0.250, 0.250, 0.000], [0.250, 0.750, 0.000], [0.750, 0.250, 0.000], [0.750, 0.750, 0.000], [0.000, 0.000, 0.000], [0.500, 0.500, 0.000], [0.000, 0.500, 0.000], [0.500, 0.000, 0.000]]}



No. 4
{"formula": "Tc2HgRh", "functional": "SCAN", "state": "PBEsol geometry", "delta_e_f_ev_per_atom": 0.360, "space_group": "No. 6", "lattice": [[2.785, 0.000, 0.000], [0.000, 4.203, 0.000], [-1.405, 0.000, 5.273]], "species": ["Tc", "Tc", "Hg", "Rh"], "frac_coords": [[0.000, 0.000, 0.000], [0.107, 0.500, 0.220], [0.742, 0.000, 0.487], [0.385, 0.500, 0.774]]}